The following is a PBE+U calculation of a relaxed K2WF5 crystal, from Alexandria via LeMat-Bulk.

Output
* electronic total energy: -5.088 eV/atom
* density: 4.03 g cm⁻³
* volume: 18.4 A^3/atom

```
data_K2WF5
_chemical_formula_sum 'K8 W4 F20'
_symmetry_space_group_name_H-M 'P 1'
_symmetry_Int_Tables_number 1
_symmetry_space_group_name_Hall 'P 1'
_cell_length_a 5.958
_cell_length_b 8.146
_cell_length_c 12.137
_cell_angle_alpha 90.00
_cell_angle_beta 90.00
_cell_angle_gamma 90.00
loop_
_atom_site_label
_atom_site_type_symbol
_atom_site_fract_x
_atom_site_fract_y
_atom_site_fract_z
K1 K 0.750 0.366 0.917
K2 K 0.750 0.983 0.246
K3 K 0.250 0.634 0.083
K4 K 0.250 0.517 0.746
K5 K 0.750 0.866 0.583
K6 K 0.750 0.483 0.254
K7 K 0.250 0.134 0.417
K8 K 0.250 0.017 0.754
F1 F 0.503 0.157 0.600
F2 F 0.497 0.843 0.400
F3 F 0.500 0.500 0.500
F4 F 0.997 0.157 0.600
F5 F 0.003 0.343 0.100
F6 F 0.750 0.441 0.708
F7 F 0.997 0.657 0.900
F8 F 0.750 0.726 0.109
F9 F 0.000 0.000 0.000
F10 F 0.750 0.941 0.792
F11 F 0.750 0.226 0.391
F12 F 0.503 0.657 0.900
F13 F 0.000 0.500 0.500
F14 F 0.250 0.274 0.891
F15 F 0.497 0.343 0.100
F16 F 0.250 0.559 0.292
F17 F 0.250 0.774 0.609
F18 F 0.500 0.000 0.000
F19 F 0.003 0.843 0.400
F20 F 0.250 0.059 0.208
W1 W 0.250 0.174 0.054
W2 W 0.750 0.826 0.946
W3 W 0.250 0.674 0.446
W4 W 0.750 0.326 0.554
```